Entry 1:
Compound: AsPtSe
Source: Alexandria
Functional: SCAN
Structure: single point on PBEsol structure

Cell lengths 3.7272, 3.7272, 4.7282 Å; angles 90.00, 90.00, 120.00 degrees
Last column: nearest neighbours and their distance in Å.
Fractional positions:
As1 0.0000 0.0000 0.9367  3 Pt 2.48
Pt1 0.3333 0.6667 0.6766  3 As 2.48, 3 Se 2.55
Se1 0.6667 0.3333 0.3867  3 Pt 2.55

Values from the calculation:
Formation energy from raw total energies ... -391 meV per atom
Fermi-level density of states ... 0.510 states/eV per atom
Magnetization ... 0.00 μB per cell


Entry 2:
Compound: As2PtSe
Source: Alexandria
Functional: SCAN
Structure: single point on PBEsol structure

Cell lengths 4.5427, 4.5427, 4.5427 Å; angles 109.12, 109.65, 109.65 degrees
Last column: nearest neighbours and their distance in Å.
Fractional positions:
As1 0.5000 0.5000 0.0000  2 Pt 2.62, 2 Se 2.62, 2 As 2.63
As2 0.5000 0.0000 0.5000  2 Se 2.62, 2 Pt 2.62, 2 As 2.63
Se1 0.0000 0.0000 0.0000  4 As 2.62, 2 Pt 2.63
Pt1 0.0000 0.5000 0.5000  4 As 2.62, 2 Se 2.63

Values from the calculation:
Formation energy from raw total energies ... -108 meV per atom
Fermi-level density of states ... 0.520 states/eV per atom
Magnetization ... 0.00 μB per cell


Entry 3:
Compound: SiAsPt2
Source: Alexandria
Functional: SCAN
Structure: single point on PBEsol structure

Cell lengths 5.7419, 5.7419, 6.3344 Å; angles 116.95, 116.95, 90.00 degrees
Last column: nearest neighbours and their distance in Å.
Fractional positions:
As1 0.2500 0.7500 0.5000  4 Pt 2.41
As2 0.0000 0.0000 0.0000  4 Pt 2.41
Si1 0.7500 0.2500 0.5000  4 Pt 2.32
Si2 0.5000 0.5000 0.0000  4 Pt 2.32
Pt1 0.3874 0.8750 0.2500  2 Si 2.32, 2 As 2.41
Pt2 0.8626 0.3750 0.2500  2 Si 2.32, 2 As 2.41
Pt3 0.1250 0.1374 0.7500  2 Si 2.32, 2 As 2.41
Pt4 0.6250 0.6126 0.7500  2 Si 2.32, 2 As 2.41

Values from the calculation:
Formation energy from raw total energies ... -401 meV per atom
Fermi-level density of states ... 0.412 states/eV per atom
Magnetization ... 0.00 μB per cell


Entry 4:
Compound: SiAs2Pt
Source: Alexandria
Functional: SCAN
Structure: single point on PBEsol structure

Cell lengths 3.6387, 3.6387, 6.3381 Å; angles 73.32, 73.32, 60.00 degrees
Last column: nearest neighbours and their distance in Å.
Fractional positions:
As1 0.7485 0.7485 0.7546  3 Pt 2.56, 3 Si 2.59
As2 0.2515 0.2515 0.2454  3 Pt 2.56, 3 Si 2.59
Si1 0.5000 0.5000 0.5000  6 As 2.59
Pt1 0.0000 0.0000 0.0000  6 As 2.56

Values from the calculation:
Formation energy from raw total energies ... -46 meV per atom
Fermi-level density of states ... 0.440 states/eV per atom
Magnetization ... 0.00 μB per cell


Entry 5:
Compound: SiAsPt2
Source: Alexandria
Functional: SCAN
Structure: single point on PBEsol structure

Cell lengths 3.8028, 3.8028, 4.9598 Å; angles 112.54, 112.54, 90.00 degrees
Last column: nearest neighbours and their distance in Å.
Fractional positions:
As1 0.2500 0.7500 0.5000  8 Pt 2.69-2.82, 4 Si 2.82
Pt1 0.0000 0.0000 0.0000  4 Si 2.69, 4 Pt 2.82, 4 As 2.82
Pt2 0.7500 0.2500 0.5000  4 As 2.69, 4 Pt 2.82, 4 Si 2.82
Si1 0.5000 0.5000 0.0000  8 Pt 2.69-2.82, 4 As 2.82

Values from the calculation:
Formation energy from raw total energies ... -52 meV per atom
Fermi-level density of states ... 0.392 states/eV per atom
Magnetization ... 0.00 μB per cell


Entry 6:
Compound: SiAs2Pt
Source: Alexandria
Functional: SCAN
Structure: single point on PBEsol structure

Cell lengths 3.2976, 4.5052, 4.5052 Å; angles 102.59, 90.00, 90.00 degrees
Last column: nearest neighbours and their distance in Å.
Fractional positions:
As1 0.0000 0.5000 0.0000  4 Pt 2.79, 4 Si 2.79, 2 As 2.82
As2 0.0000 0.0000 0.5000  4 Si 2.79, 4 Pt 2.79, 2 As 2.82
Si1 0.5000 0.5000 0.5000  8 As 2.79, 2 Pt 2.82
Pt1 0.5000 0.0000 0.0000  8 As 2.79, 2 Si 2.82

Values from the calculation:
Formation energy from raw total energies ... 296 meV per atom
Fermi-level density of states ... 0.386 states/eV per atom
Magnetization ... 0.00 μB per cell


Entry 7:
Compound: SiAsPt4
Source: Alexandria
Functional: SCAN
Structure: single point on PBEsol structure

Cell lengths 5.2147, 5.2147, 5.2147 Å; angles 60.00, 60.00, 60.00 degrees
Last column: nearest neighbours and their distance in Å.
Fractional positions:
As1 0.0000 0.0000 0.0000  12 Pt 3.06, 4 Si 3.19
Pt1 0.3749 0.3749 0.3749  6 Pt 2.61
Pt2 0.3749 0.3749 0.8752  6 Pt 2.61
Pt3 0.8752 0.3749 0.3749  6 Pt 2.61
Pt4 0.3749 0.8752 0.3749  6 Pt 2.61
Si1 0.7500 0.7500 0.7500  12 Pt 3.06, 4 As 3.19

Values from the calculation:
Formation energy from raw total energies ... 321 meV per atom
Fermi-level density of states ... 0.335 states/eV per atom
Magnetization ... 0.00 μB per cell


Entry 8:
Compound: SiAs2Pt
Source: Alexandria
Functional: SCAN
Structure: single point on PBEsol structure

Cell lengths 2.8904, 3.2893, 6.9436 Å; angles 90.00, 90.00, 90.00 degrees
Last column: nearest neighbours and their distance in Å.
Fractional positions:
As1 0.0000 0.0000 0.7629  4 Pt 2.74, 4 Si 2.85, 2 As 2.89
As2 0.0000 0.0000 0.2371  4 Pt 2.74, 4 Si 2.85, 2 As 2.89
Si1 0.5000 0.5000 0.5000  8 As 2.85, 2 Si 2.89
Pt1 0.5000 0.5000 0.0000  8 As 2.74, 2 Pt 2.89

Values from the calculation:
Formation energy from raw total energies ... 307 meV per atom
Fermi-level density of states ... 0.430 states/eV per atom
Magnetization ... 0.00 μB per cell